(1)
Here is a geometry-optimized Pm3Nd6Ho2 structure from Alexandria via LeMat-Bulk. Energies are from GGA-PBE.

Cell lengths 4.821, 4.821, 17.317 Å; angles 98.00, 98.00, 90.00 degrees
Atoms (fractional coordinates):
Nd 0.881 0.381 0.761
Nd 0.298 0.298 0.597
Nd 0.702 0.702 0.403
Nd 0.619 0.119 0.239
Nd 0.119 0.619 0.239
Nd 0.381 0.881 0.761
Pm 0.197 0.197 0.394
Pm 0.803 0.803 0.606
Pm 0.000 0.000 0.000
Ho 0.455 0.455 0.910
Ho 0.545 0.545 0.090

Summary:
ΔE to the lowest computed polymorph = 0.2625 eV/atom
formation energy from the elements = 276 meV/atom
crystal system = tetragonal
D(E_F) = 17.0 states/eV/cell
total magnetization = 0.000 μB per formula unit



(2)
Here is a geometry-optimized ReAg2Se structure from Alexandria via LeMat-Bulk. Energies are from GGA-PBE.

Cell lengths 2.995, 4.544, 5.076 Å; angles 90.00, 90.00, 90.00 degrees
Each line ends with the local moment (μB).
Atoms (fractional coordinates):
Se 0.000 0.500 0.500  0.04
Ag 0.500 0.500 0.000  0.01
Ag 0.000 0.000 0.000  0.01
Re 0.500 0.000 0.500  0.56

Summary:
formation energy from raw total energies = 2.95 eV/f.u.
crystal system = orthorhombic
D(E_F) = 3.5 states/eV/cell
total magnetization = 0.709 μB per formula unit



(3)
Here is a geometry-optimized SiTc3 structure from Alexandria via LeMat-Bulk. Energies are from GGA-PBE.

Cell lengths 4.919, 4.919, 4.919 Å; angles 116.47, 116.47, 116.47 degrees
Atoms (fractional coordinates):
Tc 0.500 0.000 0.500
Tc 0.500 0.500 0.000
Tc 0.000 0.500 0.500
Si 0.000 0.000 0.000

Summary:
ΔE to the lowest computed polymorph = 0.2919 eV/atom
formation energy from raw total energies = 0.11 eV/f.u.
crystal system = trigonal
D(E_F) = 3.8 states/eV/cell
total magnetization = 0.000 μB per formula unit



(4)
Here is a geometry-optimized AlSnPb structure from Alexandria via LeMat-Bulk. Energies are from GGA-PBE.

Cell lengths 4.443, 6.357, 6.513 Å; angles 81.15, 69.65, 68.03 degrees
Atoms (fractional coordinates):
Al 0.568 0.673 0.678
Al 0.853 0.360 0.360
Pb 0.785 0.874 0.008
Pb 0.250 0.217 0.711
Sn 0.079 0.875 0.447
Sn 0.463 0.426 0.082

Summary:
ΔE to the lowest computed polymorph = 0.0047 eV/atom
formation energy from the elements = 124 meV/atom
crystal system = triclinic
D(E_F) = 2.2 states/eV/cell
total magnetization = 0.000 μB per formula unit